Entry 1:
K2HfSnO6 PBE-GGA relaxed; N(E_F) = 0.71 states/eV per atom; crystal system = cubic; size of the total moment = 2.02 μB per formula unit; total DFT energy (no corrections) = -65.27 eV/cell; volume = 14.45 Å³/atom
1.0
0.000 4.165 4.165
4.165 0.000 4.165
4.165 4.165 0.000
K Hf Sn O
2 1 1 6
Direct
0.250 0.250 0.250
0.750 0.750 0.750
0.000 0.000 0.000
0.500 0.500 0.500
0.250 0.250 0.750
0.250 0.750 0.250
0.250 0.750 0.750
0.750 0.250 0.250
0.750 0.250 0.750
0.750 0.750 0.250

Entry 2:
NpInSb3 PBE-GGA relaxed; N(E_F) = 2.37 states/eV per atom; crystal system = monoclinic; size of the total moment = 4.10 μB per formula unit; total DFT energy (no corrections) = -56.02 eV/cell; volume = 30.15 Å³/atom
1.0
8.568 -2.199 0.000
8.568 2.199 0.000
-0.956 0.000 7.998
Np In Sb
2 2 6
Direct
0.239 0.239 0.248
0.761 0.761 0.752
0.449 0.449 0.330
0.551 0.551 0.670
0.048 0.048 0.172
0.156 0.156 0.567
0.352 0.352 0.972
0.648 0.648 0.028
0.844 0.844 0.433
0.952 0.952 0.828

Entry 3:
Sc3Cd3Pd2 PBE-GGA relaxed; N(E_F) = 0.82 states/eV per atom; crystal system = hexagonal; size of the total moment = 0.00 μB per formula unit; total DFT energy (no corrections) = -36.83 eV/cell; volume = 20.31 Å³/atom
1.0
7.491 0.000 0.000
-3.746 6.488 0.000
0.000 0.000 3.343
Sc Cd Pd
3 3 2
Direct
0.000 0.578 0.000
0.422 0.422 0.000
0.578 0.000 0.000
0.000 0.229 0.500
0.229 0.000 0.500
0.771 0.771 0.500
0.333 0.667 0.500
0.667 0.333 0.500

Entry 4:
GaCu2Pd5 PBE-GGA relaxed; N(E_F) = 0.63 states/eV per atom; crystal system = tetragonal; size of the total moment = 0.00 μB per formula unit; total DFT energy (no corrections) = -77.88 eV/cell; volume = 14.78 Å³/atom
1.0
-3.218 3.218 5.711
3.218 -3.218 5.711
3.218 3.218 -5.711
Ga Cu Pd
2 4 10
Direct
0.250 0.250 0.000
0.750 0.750 0.000
0.135 0.635 0.770
0.365 0.135 0.500
0.635 0.865 0.500
0.865 0.365 0.230
0.000 0.000 0.000
0.000 0.186 0.500
0.000 0.814 0.500
0.186 0.686 0.186
0.314 0.500 0.500
0.500 0.000 0.186
0.500 0.000 0.814
0.500 0.500 0.000
0.686 0.500 0.500
0.814 0.314 0.814

Entry 5:
Ce2NdSn3 PBE-GGA relaxed; N(E_F) = 1.25 states/eV per atom; crystal system = orthorhombic; size of the total moment = 0.00 μB per formula unit; total DFT energy (no corrections) = -31.61 eV/cell; volume = 32.23 Å³/atom
1.0
-2.237 3.183 6.790
2.237 -3.183 6.790
2.237 3.183 -6.790
Ce Nd Sn
2 1 3
Direct
0.165 0.165 0.000
0.835 0.835 0.000
0.500 0.500 0.000
0.000 0.500 0.500
0.328 0.828 0.500
0.672 0.172 0.500

Entry 6:
Pm2VGe4 PBE-GGA relaxed; N(E_F) = 0.48 states/eV per atom; crystal system = orthorhombic; size of the total moment = 1.92 μB per formula unit; total DFT energy (no corrections) = -39.90 eV/cell; volume = 23.22 Å³/atom
1.0
-3.025 3.048 4.407
3.025 -3.048 4.407
3.025 3.048 -4.407
Pm V Ge
2 1 4
Direct
0.249 0.249 0.000
0.751 0.751 0.000
0.000 0.500 0.500
0.289 0.211 0.500
0.289 0.789 0.078
0.711 0.211 0.922
0.711 0.789 0.500

Entry 7:
RbTl2Hg PBE-GGA relaxed; N(E_F) = 0.62 states/eV per atom; crystal system = trigonal; size of the total moment = 0.00 μB per formula unit; total DFT energy (no corrections) = -6.36 eV/cell; volume = 39.29 Å³/atom
1.0
2.621 1.513 6.602
-2.621 1.513 6.602
0.000 -3.027 6.602
Rb Tl Hg
1 2 1
Direct
0.000 0.000 0.000
0.212 0.212 0.212
0.788 0.788 0.788
0.500 0.500 0.500

Entry 8:
DySc3Zn4 PBE-GGA relaxed; N(E_F) = 0.90 states/eV per atom; crystal system = tetragonal; size of the total moment = 0.00 μB per formula unit; total DFT energy (no corrections) = -31.53 eV/cell; volume = 19.78 Å³/atom
1.0
4.799 0.000 0.000
0.000 4.799 0.000
0.000 0.000 6.871
Dy Sc Zn
1 3 4
Direct
0.000 0.000 0.000
0.000 0.000 0.500
0.500 0.500 0.000
0.500 0.500 0.500
0.000 0.500 0.264
0.000 0.500 0.736
0.500 0.000 0.264
0.500 0.000 0.736

Entry 9:
AlAu6 PBE-GGA relaxed; N(E_F) = 0.34 states/eV per atom; crystal system = tetragonal; size of the total moment = 0.00 μB per formula unit; total DFT energy (no corrections) = -23.53 eV/cell; volume = 19.24 Å³/atom
1.0
4.497 0.000 0.000
0.000 4.497 0.000
0.000 0.000 6.661
Al Au
1 6
Direct
0.000 0.000 0.000
0.000 0.000 0.500
0.000 0.500 0.251
0.000 0.500 0.749
0.500 0.000 0.251
0.500 0.000 0.749
0.500 0.500 0.000

Entry 10:
CaPb2 PBE-GGA relaxed; N(E_F) = 1.03 states/eV per atom; crystal system = cubic; size of the total moment = 0.00 μB per formula unit; total DFT energy (no corrections) = -20.25 eV/cell; volume = 33.15 Å³/atom
1.0
0.000 4.633 4.633
4.633 0.000 4.633
4.633 4.633 0.000
Ca Pb
2 4
Direct
0.125 0.125 0.125
0.875 0.875 0.875
0.000 0.500 0.500
0.500 0.000 0.500
0.500 0.500 0.000
0.500 0.500 0.500

Entry 11:
Pr4Er8Tm3 PBE-GGA relaxed; N(E_F) = 1.46 states/eV per atom; crystal system = trigonal; size of the total moment = 0.00 μB per formula unit; total DFT energy (no corrections) = -67.29 eV/cell; volume = 32.65 Å³/atom
1.0
3.461 1.998 11.801
-3.461 1.998 11.801
0.000 -3.997 11.801
Pr Er Tm
4 8 3
Direct
0.000 0.000 0.000
0.164 0.164 0.164
0.500 0.500 0.500
0.836 0.836 0.836
0.249 0.249 0.746
0.249 0.746 0.249
0.254 0.751 0.751
0.256 0.256 0.256
0.744 0.744 0.744
0.746 0.249 0.249
0.751 0.254 0.751
0.751 0.751 0.254
0.000 0.500 0.500
0.500 0.000 0.500
0.500 0.500 0.000

Entry 12:
InMo2As PBE-GGA relaxed; N(E_F) = 0.80 states/eV per atom; crystal system = orthorhombic; size of the total moment = 0.00 μB per formula unit; total DFT energy (no corrections) = -27.98 eV/cell; volume = 19.32 Å³/atom
1.0
1.663 -2.338 0.000
1.663 2.338 0.000
0.000 0.000 9.935
In Mo As
1 2 1
Direct
0.000 0.000 0.000
0.000 0.000 0.543
0.500 0.500 0.751
0.500 0.500 0.338

Record order is preserved below.
Ρ: 5.42 7.90 7.00 10.23 6.70 6.45 7.34 5.87 14.90 7.59 8.17 8.20 g/cm³